DFT (GGA-PBE) results for a relaxed RbLiB2F8 crystal.

Cell lengths 4.9677, 4.9677, 8.0901 Å; angles 72.12, 72.12, 60.00 degrees
Closest atoms and distances in Å follow each position.
Atoms (fractional coordinates):
F: 0.0380 0.5721 0.1600  1 B 1.41
F: 0.2299 0.0380 0.1600  1 B 1.41
F: 0.5721 0.2299 0.1600  1 B 1.41
F: 0.7701 0.9620 0.8400  1 B 1.41
F: 0.1976 0.1976 0.4072  1 B 1.43
F: 0.8024 0.8024 0.5928  1 B 1.43
F: 0.9620 0.4279 0.8400  1 B 1.41
F: 0.4279 0.7701 0.8400  1 B 1.41
B: 0.7393 0.7393 0.7821  4 F 1.41-1.43
B: 0.2607 0.2607 0.2179  4 F 1.41-1.43
Li: 0.0000 0.0000 0.0000  6 F 2.07
Rb: 0.5000 0.5000 0.5000  12 F 2.95-3.27

Formation energy from raw total energies ... -2988 meV per atom
M_tot ... 0.001 μB per atom
Symmetry ... R-3
Uncorrected energy ... -5.5887 eV/atom